VASP calculation (PBE) on YBe2Cu after structural relaxation.

Output
- DFT total energy (Ry/atom) = -0.32176
- DFT formation energy (eV/atom) = 0.125
- magnetic moment (μB/atom) = 0.0005
- polymorph energy (0 for the lowest one) (meV per atom) = 245

The structure in CIF format:
```
data_YBe2Cu
_cell_length_a 2.9651
_cell_length_b 2.9651
_cell_length_c 6.5231
_cell_angle_alpha 90.00
_cell_angle_beta 90.00
_cell_angle_gamma 90.00
_symmetry_space_group_name_H-M 'P 4/m m m'
_symmetry_Int_Tables_number 123
_symmetry_space_group_name_Hall '-P 4 2'
loop_
_atom_site_label
_atom_site_fract_x
_atom_site_fract_y
_atom_site_fract_z
Y1 0.0000 0.0000 0.0000
Be1 0.5000 0.5000 0.3237
Cu1 0.0000 0.0000 0.5000
```